Crystalline Th2Sc3Tc2 at its relaxed geometry. Source: the Alexandria database, functional GGA-PBE.

Summary:
Calculated volume in A^3/atom: 23.57
ΔH_f (0 K) in meV/atom: -159
Total DFT energy (no corrections) in eV/atom: -7.95

POSCAR file:
```
Th2Sc3Tc2
1.0
-1.4578 -0.2431 3.7022
-3.1199 -3.5238 -3.6060
6.9950 -3.9322 0.3501
Sc Th Tc
3 2 2
Cartesian
1.1214 -5.2557 -2.0497 Sc
-0.7289 -0.1216 1.8511 Sc
1.2959 -2.4434 2.4959 Sc
3.0697 -4.9598 0.8830 Th
-0.6524 -2.7394 -0.4368 Th
3.7714 -3.8100 3.3810 Tc
-1.3541 -3.8892 -2.9347 Tc
```